The following is a PBE calculation of Ti2GaAu after structural relaxation, from Alexandria via LeMat-Bulk.

## Properties
**Space group**: C2/m
**Calculated total energy**: -47.2 eV/cell
**Formation enthalpy at 0 K**: -0.378 eV per atom

Cell lengths 3.034, 6.613, 6.924 Å; angles 98.04, 90.00, 103.26 degrees
Element x y z (fractional)
Au 0.641 0.281 0.951
Ga 0.595 0.190 0.560
Ga 0.405 0.810 0.440
Ti 0.039 0.078 0.233
Ti 0.961 0.922 0.767
Ti 0.260 0.521 0.680
Au 0.359 0.719 0.049
Ti 0.740 0.479 0.320